Compound: SrFeBP2H2O10
Source: Alexandria via LeMat-Bulk
Functional: PBE with a Hubbard U
Structure: optimized geometry

calculated total energy: -6.9231 eV/atom
V: 10.95 Å³ per atom

a b c (Å): 10.5022 8.4389 9.4223
angles (deg): 90.00 116.90 90.00
With the nearest neighbours (Å) after each atom.
Space group C2/c (No. 15)
Symmetry-distinct sites (fractional):
Sr 0.0000 0.1532 0.2500 x4  8 O 2.58-2.67
Fe 0.2500 0.2500 0.0000 x4  6 O 2.00-2.07
B 0.0000 0.4608 0.7500 x4  4 O 1.47-1.49
P 0.2190 0.0615 0.6797 x8  4 O 1.52-1.59
H 0.0227 0.3004 0.5930 x8  1 O 1.01
O 0.0538 0.3619 0.8944 x8  1 H 1.01
O 0.1137 0.4267 0.2604 x8  1 B 1.49, 1 P 1.59
O 0.1420 0.1874 0.5552 x8  1 P 1.52
O 0.1755 0.1114 0.1184 x8  1 P 1.56
O 0.1866 0.0803 0.8242 x8  1 P 1.55